Entry 1:
{
  "formula": "Sm3Dy2Hg2",
  "functional": "PBE-GGA",
  "state": "optimized geometry",
  "e_form_ev_per_atom": -0.10,
  "magmom_total_mub_per_fu": 0.37,
  "lattice_angstrom": [[-11.449, 6.733, 0.704], [11.071, -5.551, -4.851], [-1.795, -2.980, -0.686]],
  "species": ["Dy", "Hg", "Dy", "Hg", "Sm", "Sm", "Sm"],
  "frac_coords": [[0.293, 0.707, 0.000], [0.570, 0.430, 0.000], [0.707, 0.293, 0.000], [0.430, 0.570, 0.000], [0.133, 0.867, 0.500], [0.000, 0.000, 0.500], [0.867, 0.133, 0.500]]
}



Entry 2:
{
  "formula": "K2Gd2ErMg3Cd",
  "functional": "PBE-GGA",
  "state": "optimized geometry",
  "final_energy_ev_per_cell": -17.9,
  "magmom_total_mub_per_fu": 0.09,
  "lattice_angstrom": [[4.859, 0.000, 0.000], [0.000, 7.076, 4.148], [0.000, -7.076, 4.148]],
  "species": ["Mg", "K", "Gd", "Mg", "Cd", "Er", "Gd", "Mg", "K"],
  "frac_coords": [[0.500, 0.782, 0.998], [0.500, 0.336, 0.668], [0.000, 0.005, 0.376], [0.500, 0.212, 0.212], [0.000, 0.994, 0.994], [0.000, 0.629, 0.629], [0.000, 0.376, 0.005], [0.500, 0.998, 0.782], [0.500, 0.668, 0.336]]
}